Crystalline NpCuS at its relaxed geometry. Source: Alexandria via LeMat-Bulk, functional GGA-PBE.

E_form (uncorrected): -0.562 eV/atom
E: -7.62 eV per atom
Fermi-level density of states: 4.6 states/eV per cell

Cell and atoms, written as POSCAR:
```
NpCuS
1.0
-0.702 2.243 2.718
1.250 -0.717 3.292
6.960 3.858 -3.763
Cu Np S
2 2 2
Cartesian
5.209 2.976 -2.356 Cu
4.302 3.216 1.963 Cu
0.818 1.087 2.822 Np
1.733 1.249 0.548 Np
6.402 4.500 1.446 S
3.657 3.219 4.170 S
```


Crystalline NpCu5S6 at its relaxed geometry. Source: Alexandria via LeMat-Bulk, functional GGA-PBE.

E_form (uncorrected): -0.377 eV/atom
E: -5.23 eV per atom
Fermi-level density of states: 8.7 states/eV per cell

Cell and atoms, written as POSCAR:
```
NpCu5S6
1.0
-4.848 3.473 1.675
-3.177 -2.911 4.501
1.385 0.937 5.896
Cu S Np
5 6 1
Cartesian
-1.233 -1.347 6.885 Cu
-4.012 0.281 3.088 Cu
-1.918 1.966 5.656 Cu
-4.722 -0.468 6.416 Cu
-0.559 -0.628 3.512 Cu
-3.349 -1.165 8.486 S
-3.968 1.940 6.953 S
-2.672 -0.442 5.119 S
-2.053 0.018 1.662 S
-3.291 2.663 3.586 S
-5.972 0.544 4.514 S
0.000 0.000 0.000 Np
```